## SrIn9Ag3 (GGA-PBE)

Data for a relaxed SrIn9Ag3 crystal.

Cell and atoms, written as POSCAR:
```
SrIn9Ag3
1.0
2.9454 -7.8626 0.0000
2.9454 7.8626 0.0000
-2.7291 0.0000 7.0655
Sr In Ag
1 9 3
Cartesian
0.0000 0.0000 0.0000
-1.3646 0.0000 3.5328
0.2060 5.0354 4.6402
0.2659 1.7204 5.5537
2.9556 5.0354 2.4253
2.8957 1.7204 1.5119
0.2659 -1.7204 5.5537
0.2060 -5.0354 4.6402
2.8957 -1.7204 1.5119
2.9556 -5.0354 2.4253
1.4727 3.9313 0.0000
1.4727 -3.9313 0.0000
1.5808 0.0000 3.5328
```



## Sr2In5Ag4 (GGA-PBE)

Data for a relaxed Sr2In5Ag4 crystal.

Cell and atoms, written as POSCAR:
```
Sr2In5Ag4
1.0
0.0000 5.2708 8.8190
3.1344 0.0000 8.8190
3.1344 5.2708 0.0000
Sr In Ag
2 5 4
Cartesian
3.1344 5.2708 2.2497
3.1344 5.2708 15.3883
1.5672 2.6354 0.0000
1.5672 2.6354 4.4095
1.5672 2.6354 8.8190
3.1344 5.2708 8.8190
4.7016 7.9063 13.2285
3.1344 3.7809 6.4379
3.1344 3.7809 11.2002
3.1344 6.7608 6.4379
3.1344 6.7608 11.2002
```



Table of formation enthalpy at 0 K (eV per atom), in record order: -0.099; -0.219